# MnCdSnF2

A relaxed structure of MnCdSnF2 (GGA+U, Alexandria via LeMat-Bulk).

Total moment in μB per cell: 5.1
Space group: P4/mmm (123)
Energy relative to the lowest polymorph listed for this composition in meV/atom: 0.0

The structure in CIF format:
```
data_MnCdSnF2
_space_group_name_H-M_alt 'P 1'
_space_group_IT_number 1
_space_group_name_Hall 'P 1'
_cell_length_a 4.4405
_cell_length_b 5.8025
_cell_length_c 4.4405
_cell_angle_alpha 90.00
_cell_angle_beta 90.00
_cell_angle_gamma 90.00
loop_
_atom_site_label
_atom_site_fract_x
_atom_site_fract_y
_atom_site_fract_z
Cd1 0.0000 0.5000 0.0000
F1 0.0000 0.0000 0.5000
Sn1 0.0000 0.0000 0.0000
F2 0.5000 0.0000 0.0000
Mn1 0.5000 0.5000 0.5000
```